1.
{"formula": "TeIrPtPb", "functional": "PBE", "state": "relaxed", "crystal_system": "trigonal", "lattice": [[4.0969, 0.0000, 0.0000], [-2.0484, 3.5480, 0.0000], [0.0000, 0.0000, 7.0514]], "species": ["Te", "Ir", "Pt", "Pb"], "frac_coords": [[0.0000, 0.0000, 0.0000], [0.6667, 0.3333, 0.8420], [0.3333, 0.6667, 0.6601], [0.0000, 0.0000, 0.4546]]}

---

2.
{"formula": "TeIrPtPb", "functional": "PBE", "state": "relaxed", "crystal_system": "monoclinic", "lattice": [[3.1742, -2.5177, 0.0000], [3.1742, 2.5177, 0.0000], [-1.6191, 0.0000, 5.6034]], "species": ["Te", "Ir", "Pt", "Pb"], "frac_coords": [[0.0000, 0.0000, 0.0000], [0.1225, 0.1225, 0.6111], [0.5609, 0.5609, 0.8627], [0.6667, 0.6667, 0.4122]]}

---

Result set for ΔE to the lowest computed polymorph: 31, 163 meV per atom, one per record in the order listed.
Result set for energy relative to the elements, uncorrected: -22, 110 meV per atom, one per record in the order listed.